Record 1
The following is a PBE calculation of K4Tl5In after structural relaxation, from the Alexandria database.

Computed properties:
As for the space group: I4, No. 79. The calculation puts the formation energy at -0.072 eV per atom.

The structure in extended XYZ format:
```
10
Lattice="-5.2672 5.2672 3.6345 5.2672 -5.2672 3.6345 5.2672 5.2672 -3.6345" Properties=species:S:1:pos:R:3 pbc="T T T"
K 7.3007 0.6990 0.0000
K 0.6990 3.2337 0.0000
K 4.5682 2.0335 3.6345
K -2.0335 4.5682 3.6345
Tl 4.4515 3.0499 -0.0133
Tl 2.2173 -0.8157 3.6211
Tl 3.0499 6.0828 -0.0133
Tl 0.8157 2.2173 3.6211
Tl 0.0000 0.0000 5.8027
In 0.0000 0.0000 1.5692
```

=====

Record 2
The following is a PBE calculation of KTlIn2 after structural relaxation, from the Alexandria database.

Computed properties:
As for the space group: C2/m, No. 12. The calculation puts the formation energy at 0.022 eV per atom.

The structure in extended XYZ format:
```
4
Lattice="3.4042 -5.7254 0.0000 3.4042 5.7254 0.0000 -1.2093 0.0000 3.2125" Properties=species:S:1:pos:R:3 pbc="T T T"
K 0.0000 0.0000 0.0000
Tl 3.4042 0.0000 0.0000
In 1.0975 2.8627 1.6063
In 1.0975 -2.8627 1.6063
```

=====

Record 3
The following is a PBE calculation of K2TlIn after structural relaxation, from the Alexandria database.

Computed properties:
As for the space group: C2/m, No. 12. The calculation puts the formation energy at 0.070 eV per atom.

The structure in extended XYZ format:
```
4
Lattice="6.0685 -1.7952 0.0000 6.0685 1.7952 0.0000 -0.9269 0.0000 7.0051" Properties=species:S:1:pos:R:3 pbc="T T T"
K 2.8009 0.0000 1.7408
K 8.4092 0.0000 5.2643
Tl -0.4635 0.0000 3.5025
In 6.0685 0.0000 0.0000
```